# MgCu2AsO6 (PBE, relaxed)
data_MgCu2AsO6
_symmetry_space_group_name_H-M 'C 1 2/c 1'
_symmetry_Int_Tables_number 15
_symmetry_space_group_name_Hall '-C 2yc'
_cell_length_a 8.719
_cell_length_b 9.460
_cell_length_c 5.460
_cell_angle_alpha 90.00
_cell_angle_beta 109.77
_cell_angle_gamma 90.00
loop_
_atom_site_label
_atom_site_type_symbol
_atom_site_fract_x
_atom_site_fract_y
_atom_site_fract_z
Mg1 Mg 0.000 0.089 0.250
Cu1 Cu 0.140 0.416 0.155
As1 As 0.000 0.226 0.750
O1 O 0.084 0.388 0.588
O2 O 0.125 0.086 0.663
O3 O 0.131 0.221 0.092
# Spin magnetization in μB per formula unit: 1.0
# Total DFT energy (no corrections) in eV for the cell shown: -220.14
# Formation energy without anion corrections in meV/atom: -1085.0
# Crystal system: monoclinic